[1]
AcCe2Pr after structural relaxation, computed with PBE.

Cell: 5.122 5.122 5.217 Å, 90.00 90.00 90.00°
Space group P4/mmm (No. 123)
One atom of each set of equivalent atoms:
Ac: 0.000 0.000 0.000 [1 per cell]
Ce: 0.000 0.500 0.500 [2 per cell]
Pr: 0.500 0.500 0.000 [1 per cell]

Calculated values
**Size of the total moment**: 1.9 μB/f.u.
**E**: -20.2 eV per formula unit


[2]
AcCe4Pr after structural relaxation, computed with PBE.

Cell: 9.147 9.147 9.147 Å, 90.00 90.00 90.00°
Space group F-43m (No. 216)
One atom of each set of equivalent atoms:
Ac: 0.000 0.000 0.000 [4 per cell]
Ce: 0.121 0.121 0.379 [16 per cell]
Pr: 0.250 0.250 0.750 [4 per cell]

Calculated values
**Size of the total moment**: 4.1 μB/f.u.
**E**: -31.5 eV per formula unit


[3]
AcCe2Pr after structural relaxation, computed with PBE.

Cell: 8.333 8.333 8.333 Å, 90.00 90.00 90.00°
Space group Fm-3m (No. 225)
One atom of each set of equivalent atoms:
Ac: 0.000 0.000 0.000 [4 per cell]
Ce: 0.250 0.250 0.250 [8 per cell]
Pr: 0.000 0.000 0.500 [4 per cell]

Calculated values
**Size of the total moment**: 4.4 μB/f.u.
**E**: -19.6 eV per formula unit